A plane-wave DFT calculation with PBE-GGA was carried out for TlAgTe2 after structural relaxation.

POSCAR file:
```
TlAgTe2
1.0
1.9683 0.0000 11.6199
-0.9841 1.7046 11.6199
-0.9841 -1.7046 11.6199
Ag Te Tl
1 2 1
Direct
0.0000 0.0000 0.0000
0.0774 0.0774 0.0774
0.9226 0.9226 0.9226
0.5000 0.5000 0.5000
```

Crystal system = trigonal
Space-group type = R-3m
Density of states at the Fermi level = 2.47 states/eV/cell
E_tot = -2.76 eV/atom
ΔE_f (raw) = 114 meV per atom